Entry 1:
VASP calculation (PBE) on a relaxed structure of LaZr2Pt2.

Values from the calculation:
VASP energy in eV per atom: -7.4049
Energy above the most stable polymorph in this dataset in meV per atom: 301
Magnetization in μB/f.u.: 0.00

Cell: 5.0011 5.0011 10.0278 Å, 90.00 90.00 90.00°
Space group I4/mmm (No. 139)
Inequivalent atoms, fractional coordinates:
La 0.0000 0.0000 0.0000
Zr 0.0000 0.0000 0.3477
Pt 0.0000 0.5000 0.2500

---

Entry 2:
VASP calculation (PBE) on a relaxed structure of ZnInMo2.

Values from the calculation:
VASP energy in eV per atom: -6.0829
Energy above the most stable polymorph in this dataset in meV per atom: 182
Magnetization in μB/f.u.: 0.00

Cell: 3.4419 4.3714 8.8919 Å, 90.00 90.00 90.00°
Space group Cmmm (No. 65)
Inequivalent atoms, fractional coordinates:
Zn 0.0000 0.0000 0.0000
In 0.0000 0.0000 0.5000
Mo 0.0000 0.5000 0.2372

---

| no. | Fermi-level density of states (states/eV/cell) |
| --- | --- |
| 1 | 13.0 |
| 2 | 4.6 |